# Li2ZnTc

Li2ZnTc after structural relaxation (PBEsol, the Alexandria database).

Cell lengths 2.4950, 4.5945, 5.2605 Å; angles 115.89, 103.72, 90.00 degrees
With the nearest neighbours (Å) after each atom.
Sites, in units of the cell vectors:
1 Li 0.7371 0.2371 0.4743  4 Li 2.50-2.53, 4 Zn 2.62, 2 Tc 2.75
2 Li 0.9961 0.9961 0.9921  2 Zn 2.48, 4 Li 2.50-2.53, 4 Tc 2.62
3 Zn 0.2614 0.7614 0.5229  6 Li 2.48-2.62, 2 Zn 2.50, 2 Tc 2.65
4 Tc 0.5054 0.5054 0.0107  2 Tc 2.50, 6 Li 2.62-2.75, 2 Zn 2.65

Output
Total moment, μB/f.u.: 0.0
Crystal system: orthorhombic
SG: Imm2
Calculated total energy, eV per atom: -3.960